A plane-wave DFT calculation with meta-GGA SCAN was carried out for a crystal of LiRu2Cl relaxed with PBEsol.

Cell: 2.775 2.775 8.448 Å, 80.55 80.55 60.00°
Element x y z (fractional)
Ru: 0.756 0.756 0.731
Cl: 0.500 0.500 0.500
Li: 0.000 0.000 0.000
Ru: 0.244 0.244 0.269

Computed properties:
energy above the most stable polymorph in this dataset = 0.751 eV per atom
formation energy without anion corrections = 0.638 eV/atom
total magnetic moment = 0.00 μB per cell
density of states at the Fermi level = 5.1 states/eV/f.u.

A plane-wave DFT calculation with meta-GGA SCAN was carried out for a crystal of CdAsOs relaxed with PBEsol.

Cell: 3.026 3.026 6.625 Å, 90.00 90.00 120.00°
Element x y z (fractional)
Os: 0.667 0.333 0.305
Cd: 0.333 0.667 0.646
As: 0.000 0.000 0.049

Computed properties:
energy above the most stable polymorph in this dataset = 0.018 eV per atom
total magnetic moment = 0.00 μB per cell
density of states at the Fermi level = 1.2 states/eV/f.u.
formation energy = 192 meV/atom

A plane-wave DFT calculation with meta-GGA SCAN was carried out for a crystal of Nb3BiAs relaxed with PBEsol.

Cell: 5.100 5.100 5.100 Å, 90.00 90.00 90.00°
Element x y z (fractional)
Nb: 0.000 0.000 0.500
Nb: 0.500 0.000 0.000
Nb: 0.000 0.500 0.000
Bi: 0.000 0.000 0.000
As: 0.500 0.500 0.500

Computed properties:
total magnetic moment = 0.00 μB per cell
density of states at the Fermi level = 8.9 states/eV/f.u.
formation energy = 2017 meV/atom

The lowest density of states at the Fermi level belongs to which entry?
CdAsOs